[1]
Here is a relaxed TbHfSn crystal from Alexandria. Energies are from PBE-GGA. Values from VASP.

Output
* energy above the most stable polymorph in this dataset: 0.414 eV/atom
* spin magnetization: 0.0 μB per formula unit
* uncorrected energy: -6.309 eV per atom

```
&SYSTEM
  ibrav = 0, nat = 3, ntyp = 3
/
ATOMIC_SPECIES
Tb 158.93 Tb.upf
Hf 178.49 Hf.upf
Sn 118.71 Sn.upf
CELL_PARAMETERS angstrom
5.018 0.000 0.000
-2.509 4.346 0.000
0.000 0.000 3.567
ATOMIC_POSITIONS angstrom
Tb 0.000 0.000 0.000
Hf 0.000 2.897 1.877
Sn 2.509 1.449 1.501
```


[2]
Here is a relaxed DyZnBi crystal from Alexandria. Energies are from PBE-GGA. Values from VASP.

Output
* spin magnetization: 0.0 μB per formula unit
* uncorrected energy: -3.662 eV per atom

```
&SYSTEM
  ibrav = 0, nat = 3, ntyp = 3
/
ATOMIC_SPECIES
Dy 162.50 Dy.upf
Zn 65.41 Zn.upf
Bi 208.98 Bi.upf
CELL_PARAMETERS angstrom
4.506 0.000 0.000
-2.253 3.902 0.000
0.000 0.000 4.387
ATOMIC_POSITIONS angstrom
Dy 0.000 0.000 0.000
Zn 0.000 2.602 3.113
Bi 2.253 1.301 1.959
```


| no. | ΔH_f (0 K) (kJ per mole of atoms) |
| --- | --- |
| 1 | -11 |
| 2 | -40 |